No. 1
{
  "formula": "La5Y",
  "functional": "meta-GGA SCAN",
  "state": "single point on PBEsol structure",
  "final_energy_ev_per_atom": -40.5253,
  "polymorph_energy_ev_per_atom": 0.015,
  "space_group": "P1, No. 1",
  "ef_ev_per_atom": 0.0361,
  "crystal_system": "triclinic",
  "lattice": [[3.643, 0.000, 0.000], [1.820, 6.686, 0.000], [0.008, 2.243, 8.339]],
  "species": ["La", "La", "La", "La", "La", "Y"],
  "frac_coords": [[0.000, 0.000, 0.000], [0.053, 0.890, 0.610], [0.382, 0.233, 0.272], [0.662, 0.676, 0.331], [0.720, 0.557, 0.938], [0.333, 0.334, 0.662]]
}

No. 2
{
  "formula": "LaAsSe2",
  "functional": "meta-GGA SCAN",
  "state": "single point on PBEsol structure",
  "final_energy_ev_per_atom": -26.7479,
  "space_group": "R-3m, No. 166",
  "e_form_raw_ev_per_atom": -0.8847,
  "crystal_system": "trigonal",
  "lattice": [[2.100, 1.213, 8.510], [-2.100, 1.213, 8.510], [0.000, -2.425, 8.510]],
  "species": ["La", "As", "Se", "Se"],
  "frac_coords": [[0.000, 0.000, 0.000], [0.500, 0.500, 0.500], [0.399, 0.399, 0.399], [0.601, 0.601, 0.601]]
}

No. 3
{
  "formula": "Hf3NbTc",
  "functional": "meta-GGA SCAN",
  "state": "single point on PBEsol structure",
  "final_energy_ev_per_atom": -49.8361,
  "space_group": "Pm-3m, No. 221",
  "ef_ev_per_atom": 1.4057,
  "crystal_system": "cubic",
  "lattice": [[4.861, 0.000, 0.000], [0.000, 4.861, 0.000], [0.000, 0.000, 4.861]],
  "species": ["Hf", "Hf", "Hf", "Nb", "Tc"],
  "frac_coords": [[0.000, 0.000, 0.500], [0.000, 0.500, 0.000], [0.500, 0.000, 0.000], [0.000, 0.000, 0.000], [0.500, 0.500, 0.500]]
}

No. 4
{
  "formula": "Ba3LuIr2O9",
  "functional": "meta-GGA SCAN",
  "state": "single point on PBEsol structure",
  "final_energy_ev_per_atom": -27.2201,
  "space_group": "P6_3/mmc, No. 194",
  "e_form_raw_ev_per_atom": -2.4018,
  "crystal_system": "hexagonal",
  "lattice": [[5.821, 0.000, 0.000], [-2.910, 5.041, 0.000], [0.000, 0.000, 14.392]],
  "species": ["Ba", "Ba", "Ba", "Ba", "Ba", "Ba", "Lu", "Lu", "Ir", "Ir", "Ir", "Ir", "O", "O", "O", "O", "O", "O", "O", "O", "O", "O", "O", "O", "O", "O", "O", "O", "O", "O"],
  "frac_coords": [[0.000, 0.000, 0.250], [0.000, 0.000, 0.750], [0.333, 0.667, 0.090], [0.333, 0.667, 0.410], [0.667, 0.333, 0.590], [0.667, 0.333, 0.910], [0.000, 0.000, 0.000], [0.000, 0.000, 0.500], [0.333, 0.667, 0.663], [0.333, 0.667, 0.837], [0.667, 0.333, 0.163], [0.667, 0.333, 0.337], [0.015, 0.508, 0.750], [0.174, 0.348, 0.585], [0.174, 0.348, 0.915], [0.174, 0.826, 0.585], [0.174, 0.826, 0.915], [0.348, 0.174, 0.085], [0.348, 0.174, 0.415], [0.492, 0.508, 0.750], [0.492, 0.985, 0.750], [0.508, 0.015, 0.250], [0.508, 0.492, 0.250], [0.652, 0.826, 0.585], [0.652, 0.826, 0.915], [0.826, 0.174, 0.085], [0.826, 0.174, 0.415], [0.826, 0.652, 0.085], [0.826, 0.652, 0.415], [0.985, 0.492, 0.250]]
}

No. 5
{
  "formula": "RbNa2P3H6O12",
  "functional": "meta-GGA SCAN",
  "state": "single point on PBEsol structure",
  "final_energy_ev_per_atom": -8.4330,
  "space_group": "P-1, No. 2",
  "crystal_system": "triclinic",
  "lattice": [[7.562, 0.000, 0.000], [1.779, 8.496, 0.000], [0.828, 3.960, 8.805]],
  "species": ["Rb", "Rb", "Na", "Na", "Na", "Na", "P", "P", "P", "P", "P", "P", "H", "H", "H", "H", "H", "H", "H", "H", "H", "H", "H", "H", "O", "O", "O", "O", "O", "O", "O", "O", "O", "O", "O", "O", "O", "O", "O", "O", "O", "O", "O", "O", "O", "O", "O", "O"],
  "frac_coords": [[0.245, 0.351, 0.119], [0.755, 0.649, 0.881], [0.037, 0.269, 0.795], [0.351, 0.032, 0.641], [0.649, 0.968, 0.359], [0.963, 0.731, 0.205], [0.241, 0.882, 0.383], [0.256, 0.625, 0.706], [0.422, 0.638, 0.258], [0.578, 0.362, 0.742], [0.744, 0.375, 0.294], [0.759, 0.118, 0.617], [0.006, 0.103, 0.123], [0.052, 0.294, 0.504], [0.168, 0.757, 0.904], [0.204, 0.404, 0.459], [0.342, 0.936, 0.964], [0.392, 0.123, 0.896], [0.608, 0.877, 0.104], [0.658, 0.064, 0.036], [0.796, 0.596, 0.541], [0.832, 0.243, 0.096], [0.948, 0.706, 0.496], [0.994, 0.897, 0.877], [0.056, 0.785, 0.956], [0.095, 0.931, 0.270], [0.118, 0.523, 0.797], [0.160, 0.307, 0.545], [0.164, 0.752, 0.541], [0.256, 0.561, 0.287], [0.311, 0.053, 0.881], [0.319, 0.015, 0.406], [0.339, 0.727, 0.768], [0.412, 0.507, 0.650], [0.414, 0.759, 0.348], [0.478, 0.737, 0.096], [0.522, 0.263, 0.904], [0.586, 0.241, 0.652], [0.588, 0.493, 0.350], [0.661, 0.273, 0.232], [0.681, 0.985, 0.594], [0.689, 0.947, 0.119], [0.744, 0.439, 0.713], [0.836, 0.248, 0.459], [0.840, 0.693, 0.455], [0.882, 0.477, 0.203], [0.905, 0.069, 0.730], [0.944, 0.215, 0.044]]
}

No. 6
{
  "formula": "ZnAgIr2",
  "functional": "meta-GGA SCAN",
  "state": "single point on PBEsol structure",
  "final_energy_ev_per_atom": -46.5883,
  "space_group": "P2/m, No. 10",
  "ef_ev_per_atom": 0.1818,
  "crystal_system": "monoclinic",
  "lattice": [[2.701, 0.000, 0.000], [0.000, 4.543, 0.000], [-0.257, 0.000, 4.759]],
  "species": ["Zn", "Ag", "Ir", "Ir"],
  "frac_coords": [[0.000, 0.000, 0.000], [0.500, 0.000, 0.500], [0.225, 0.500, 0.762], [0.775, 0.500, 0.238]]
}

No. 7
{
  "formula": "Ag2CBr",
  "functional": "meta-GGA SCAN",
  "state": "single point on PBEsol structure",
  "final_energy_ev_per_atom": -22.0929,
  "space_group": "I-42d, No. 122",
  "e_form_raw_ev_per_atom": 0.9804,
  "crystal_system": "tetragonal",
  "lattice": [[-2.935, 2.935, 4.514], [2.935, -2.935, 4.514], [2.935, 2.935, -4.514]],
  "species": ["Ag", "Ag", "Ag", "Ag", "C", "C", "Br", "Br"],
  "frac_coords": [[0.025, 0.125, 0.400], [0.375, 0.975, 0.100], [0.725, 0.625, 0.600], [0.875, 0.275, 0.900], [0.000, 0.000, 0.000], [0.750, 0.250, 0.500], [0.250, 0.750, 0.500], [0.500, 0.500, 0.000]]
}

No. 8
{
  "formula": "SrH2Au",
  "functional": "meta-GGA SCAN",
  "state": "single point on PBEsol structure",
  "final_energy_ev_per_atom": -24.7514,
  "polymorph_energy_ev_per_atom": 0.165,
  "space_group": "Fm-3m, No. 225",
  "crystal_system": "cubic",
  "lattice": [[0.000, 3.067, 3.067], [3.067, 0.000, 3.067], [3.067, 3.067, 0.000]],
  "species": ["Sr", "H", "H", "Au"],
  "frac_coords": [[0.000, 0.000, 0.000], [0.250, 0.250, 0.250], [0.750, 0.750, 0.750], [0.500, 0.500, 0.500]]
}

No. 9
{
  "formula": "CoOs3Ru",
  "functional": "meta-GGA SCAN",
  "state": "single point on PBEsol structure",
  "final_energy_ev_per_atom": -51.5020,
  "space_group": "Pm-3m, No. 221",
  "ef_ev_per_atom": 2.0521,
  "crystal_system": "cubic",
  "lattice": [[4.279, 0.000, 0.000], [0.000, 4.279, 0.000], [0.000, 0.000, 4.279]],
  "species": ["Co", "Os", "Os", "Os", "Ru"],
  "frac_coords": [[0.000, 0.000, 0.000], [0.000, 0.000, 0.500], [0.000, 0.500, 0.000], [0.500, 0.000, 0.000], [0.500, 0.500, 0.500]]
}

No. 10
{
  "formula": "SrLaSe2",
  "functional": "meta-GGA SCAN",
  "state": "single point on PBEsol structure",
  "final_energy_ev_per_atom": -28.6218,
  "polymorph_energy_ev_per_atom": 0.000,
  "space_group": "P4/mmm, No. 123",
  "e_form_raw_ev_per_atom": -2.2375,
  "crystal_system": "tetragonal",
  "lattice": [[4.299, 0.000, 0.000], [0.000, 4.299, 0.000], [0.000, 0.000, 6.085]],
  "species": ["Sr", "La", "Se", "Se"],
  "frac_coords": [[0.000, 0.000, 0.000], [0.500, 0.500, 0.500], [0.000, 0.000, 0.500], [0.500, 0.500, 0.000]]
}

No. 11
{
  "formula": "KCa2Fe",
  "functional": "meta-GGA SCAN",
  "state": "single point on PBEsol structure",
  "final_energy_ev_per_atom": -10.8405,
  "polymorph_energy_ev_per_atom": 0.096,
  "space_group": "Fm-3m, No. 225",
  "ef_ev_per_atom": 0.6058,
  "crystal_system": "cubic",
  "lattice": [[0.000, 3.930, 3.930], [3.930, 0.000, 3.930], [3.930, 3.930, 0.000]],
  "species": ["K", "Ca", "Ca", "Fe"],
  "frac_coords": [[0.000, 0.000, 0.000], [0.250, 0.250, 0.250], [0.750, 0.750, 0.750], [0.500, 0.500, 0.500]]
}

No. 12
{
  "formula": "La2ReAg",
  "functional": "meta-GGA SCAN",
  "state": "single point on PBEsol structure",
  "final_energy_ev_per_atom": -47.1401,
  "polymorph_energy_ev_per_atom": 0.000,
  "space_group": "P2/m, No. 10",
  "ef_ev_per_atom": 0.0286,
  "crystal_system": "monoclinic",
  "lattice": [[3.516, 0.000, 0.000], [0.000, 3.516, 0.000], [-0.024, 0.000, 7.790]],
  "species": ["La", "La", "Re", "Ag"],
  "frac_coords": [[0.002, 0.000, 0.278], [0.998, 0.000, 0.722], [0.500, 0.500, 0.500], [0.500, 0.500, 0.000]]
}

Number 1: total magnetization 0.0000 μB per atom. Number 2: total magnetization 0.0000 μB per atom. Number 3: total magnetization 0.2374 μB per atom. Number 4: total magnetization 0.0000 μB per atom. Number 5: total magnetization 0.0039 μB per atom. Number 6: total magnetization 0.0000 μB per atom. Number 7: total magnetization 0.0000 μB per atom. Number 8: total magnetization 0.0001 μB per atom. Number 9: total magnetization 0.0708 μB per atom. Number 10: total magnetization 0.0000 μB per atom. Number 11: total magnetization 0.8470 μB per atom. Number 12: total magnetization 0.0000 μB per atom.